Below is an optimized crystal structure of SnSCl2, with properties calculated at the PBE level.

It has space group C2/m (No. 12), with a = 19.511 Å, b = 5.538 Å, c = 5.357 Å, α = 90.00°, β = 95.86° and γ = 90.00°. The asymmetric unit holds Sn at (0.165, 0.000, 0.469), S at (0.022, 0.000, 0.345), Cl at (0.162, 0.000, 0.962) and Cl at (0.185, 0.500, 0.473).

For the total moment, the calculation gives 0.137 μB per atom. The calculation puts the energy at -3.55 eV/atom. For the uncorrected formation energy, the calculation gives -57.2 kJ per mole of atoms. The calculation puts the energy above the most stable polymorph in this dataset at 0 meV per atom. The calculated volume is 575.83 Å³/cell.